1.
# Ba4In

A geometry-optimized Ba4In structure (PBE-GGA, Alexandria via LeMat-Bulk).

POSCAR file:
```
Ba4In
1.0
9.3071 -8.7622 0.0000
9.3071 8.7622 0.0000
-9.1022 0.0000 9.7411
Ba In
24 6
Direct
0.0000 0.5000 0.5000
0.0041 0.4545 0.8296
0.0570 0.8521 0.0447
0.1139 0.8861 0.7500
0.1479 0.9430 0.4553
0.2360 0.2767 0.3882
0.2767 0.2360 0.8882
0.2991 0.6548 0.9039
0.3452 0.7009 0.5961
0.3567 0.4497 0.2702
0.4497 0.3567 0.7702
0.4545 0.0041 0.3296
0.5000 0.0000 0.0000
0.5455 0.9959 0.6704
0.5503 0.6433 0.2298
0.6433 0.5503 0.7298
0.6548 0.2991 0.4039
0.7009 0.3452 0.0961
0.7233 0.7640 0.1118
0.7640 0.7233 0.6118
0.8521 0.0570 0.5447
0.8861 0.1139 0.2500
0.9430 0.1479 0.9553
0.9959 0.5455 0.1704
0.1180 0.2856 0.6112
0.2758 0.7242 0.2500
0.2856 0.1180 0.1112
0.7144 0.8820 0.8888
0.7242 0.2758 0.7500
0.8820 0.7144 0.3888
```

E_form: -0.116 eV/atom
energy relative to the lowest polymorph listed for this composition: 0 meV/atom
space group: C2/c

---

2.
# BaIn3

A geometry-optimized BaIn3 structure (PBE-GGA, Alexandria via LeMat-Bulk).

POSCAR file:
```
BaIn3
1.0
4.0301 0.0000 0.0000
0.0000 4.0301 0.0000
0.0000 0.0000 7.8326
Ba In
1 3
Direct
0.0000 0.0000 0.0000
0.0000 0.0000 0.5000
0.5000 0.5000 0.3013
0.5000 0.5000 0.6987
```

E_form: -0.269 eV/atom
space group: P4/mmm